[1]
The following is a DFT calculation (GGA-PBEsol) of crystalline MnCo2Si at its relaxed geometry.

Lattice parameters (Å, degrees): 3.929 3.929 3.929 60.00 60.00 60.00
Fractional coordinates of all 4 atoms:
1 Co 0.250 0.250 0.250
2 Si 0.500 0.500 0.500
3 Co 0.750 0.750 0.750
4 Mn 0.000 0.000 0.000

Results
- E_form (uncorrected): -457 meV/atom
- DOS(E_F): 0.290 states/eV per atom

[2]
The following is a DFT calculation (GGA-PBEsol) of crystalline ScPOs2 at its relaxed geometry.

Lattice parameters (Å, degrees): 2.952 2.952 6.604 90.00 90.00 90.00
Fractional coordinates of all 4 atoms:
1 Os 0.000 0.000 0.792
2 Os 0.000 0.000 0.208
3 P 0.500 0.500 0.000
4 Sc 0.500 0.500 0.500

Results
- DOS(E_F): 0.553 states/eV per atom
- Final energy: -37.8 eV for the cell shown

[3]
The following is a DFT calculation (GGA-PBEsol) of crystalline ZrNi2Se at its relaxed geometry.

Lattice parameters (Å, degrees): 3.764 3.764 4.026 90.00 90.00 90.00
Fractional coordinates of all 4 atoms:
1 Ni 0.500 0.000 0.000
2 Se 0.500 0.500 0.500
3 Zr 0.000 0.000 0.500
4 Ni 0.000 0.500 0.000

Results
- E_form (uncorrected): -392 meV/atom
- DOS(E_F): 0.561 states/eV per atom

[4]
The following is a DFT calculation (GGA-PBEsol) of crystalline CaYNiSe2 at its relaxed geometry.

Lattice parameters (Å, degrees): 4.481 4.911 4.911 90.00 90.00 90.00
Fractional coordinates of all 5 atoms:
1 Ca 0.500 0.000 0.000
2 Ni 0.000 0.000 0.000
3 Se 0.000 0.000 0.500
4 Y 0.500 0.500 0.500
5 Se 0.000 0.500 0.000

Results
- E_form (uncorrected): -467 meV/atom
- DOS(E_F): 0.680 states/eV per atom